First-principles (GGA-PBE) data for crystalline Rb2NaTaCl6 at its relaxed geometry, as listed in OQMD.

Properties
Its calculated volume is 1108.31 Å³ per cell. As for the uncorrected energy: -166.98 eV for the cell shown. The total moment comes out at 8.0 μB/cell.

Cell and atoms, written as CIF:
```
data_Rb2NaTaCl6
_space_group_name_H-M_alt 'F m -3 m'
_space_group_IT_number 225
_space_group_name_Hall '-F 4 2 3'
_cell_length_a 10.349
_cell_length_b 10.349
_cell_length_c 10.349
_cell_angle_alpha 90.00
_cell_angle_beta 90.00
_cell_angle_gamma 90.00
loop_
_atom_site_label
_atom_site_fract_x
_atom_site_fract_y
_atom_site_fract_z
Rb1 0.250 0.250 0.250
Na1 0.000 0.000 0.000
Ta1 0.000 0.000 0.500
Cl1 0.000 0.000 0.261
```